Computed, not measured: LiOsCl2 after structural relaxation at the GGA-PBE level of DFT.

Structure (extended XYZ):
```
4
Lattice="-1.821 2.023 6.091 1.821 -2.023 6.091 1.821 2.023 -6.091" Properties=species:S:1:pos:R:3 pbc="T T T"
Li 0.000 0.000 0.000
Os 0.000 0.000 6.091
Cl 1.821 0.000 4.570
Cl 0.000 2.023 1.520
```

Formation energy (no corrections)   -0.094 eV/atom
E above lowest polymorph   175 meV/atom
VASP energy   -4.3032 eV per atom